An optimized crystal structure of NbAuN2, computed with GGA-PBE.

Cell: 6.564 6.564 6.564 Å, 28.00 28.00 28.00°
Element x y z (fractional)
Nb 0.000 0.000 0.000
Au 0.500 0.500 0.500
N 0.390 0.390 0.390
N 0.610 0.610 0.610

Calculated values
raw formation energy: -0.26 eV/atom
ΔE to the lowest computed polymorph: 0.00 eV/f.u.
E: -0.285 Ha/atom

An optimized crystal structure of Nb2NiAuN, computed with GGA-PBE.

Cell: 4.274 4.274 3.892 Å, 90.00 90.00 90.00°
Element x y z (fractional)
Nb 0.000 0.500 0.000
Nb 0.500 0.000 0.000
Ni 0.000 0.000 0.500
Au 0.500 0.500 0.500
N 0.000 0.000 0.000

Calculated values
raw formation energy: -0.40 eV/atom
E: -0.290 Ha/atom

An optimized crystal structure of NbAuNO2, computed with GGA-PBE.

Cell: 3.931 3.931 4.343 Å, 90.00 90.00 90.00°
Element x y z (fractional)
Nb 0.000 0.000 0.000
Au 0.500 0.500 0.500
N 0.000 0.000 0.500
O 0.000 0.500 0.000
O 0.500 0.000 0.000

Calculated values
raw formation energy: -0.57 eV/atom
E: -0.253 Ha/atom

An optimized crystal structure of NbAuNO2, computed with GGA-PBE.

Cell: 4.034 4.034 4.051 Å, 90.00 90.00 90.00°
Element x y z (fractional)
Nb 0.000 0.000 0.000
Au 0.500 0.500 0.500
N 0.500 0.500 0.000
O 0.000 0.500 0.500
O 0.500 0.000 0.500

Calculated values
raw formation energy: 0.88 eV/atom
E: -0.200 Ha/atom

An optimized crystal structure of NbPAuN2, computed with GGA-PBE.

Cell: 3.947 3.947 5.516 Å, 90.00 90.00 90.00°
Element x y z (fractional)
Nb 0.000 0.000 0.000
P 0.000 0.000 0.500
Au 0.500 0.500 0.500
N 0.000 0.500 0.000
N 0.500 0.000 0.000

Calculated values
raw formation energy: 0.67 eV/atom
E: -0.236 Ha/atom

An optimized crystal structure of NbAuSeN2, computed with GGA-PBE.

Cell: 4.008 4.008 5.086 Å, 90.00 90.00 90.00°
Element x y z (fractional)
Nb 0.000 0.000 0.000
Au 0.500 0.500 0.500
Se 0.500 0.500 0.000
N 0.000 0.500 0.500
N 0.500 0.000 0.500

Calculated values
raw formation energy: 1.80 eV/atom
ΔE to the lowest computed polymorph: 6.84 eV/f.u.
E: -0.180 Ha/atom

An optimized crystal structure of NbAuSeN2, computed with GGA-PBE.

Cell: 3.963 3.963 5.745 Å, 90.00 90.00 90.00°
Element x y z (fractional)
Nb 0.000 0.000 0.000
Au 0.500 0.500 0.500
Se 0.000 0.000 0.500
N 0.000 0.500 0.000
N 0.500 0.000 0.000

Calculated values
raw formation energy: 0.43 eV/atom
ΔE to the lowest computed polymorph: 0.00 eV/f.u.
E: -0.230 Ha/atom

An optimized crystal structure of NbV2AuN, computed with GGA-PBE.

Cell: 3.999 3.999 4.266 Å, 90.00 90.00 90.00°
Element x y z (fractional)
Nb 0.000 0.000 0.000
V 0.000 0.500 0.500
V 0.500 0.000 0.500
Au 0.500 0.500 0.000
N 0.000 0.000 0.500

Calculated values
raw formation energy: -0.53 eV/atom
E: -0.313 Ha/atom

An optimized crystal structure of Nb2VAuN, computed with GGA-PBE.

Cell: 4.322 4.322 3.922 Å, 90.00 90.00 90.00°
Element x y z (fractional)
Nb 0.000 0.500 0.000
Nb 0.500 0.000 0.000
V 0.000 0.000 0.500
Au 0.500 0.500 0.500
N 0.000 0.000 0.000

Calculated values
raw formation energy: -0.54 eV/atom
E: -0.320 Ha/atom

An optimized crystal structure of Nb2WAuN, computed with GGA-PBE.

Cell: 4.302 4.302 4.102 Å, 90.00 90.00 90.00°
Element x y z (fractional)
Nb 0.000 0.500 0.000
Nb 0.500 0.000 0.000
W 0.000 0.000 0.500
Au 0.500 0.500 0.500
N 0.000 0.000 0.000

Calculated values
raw formation energy: -0.31 eV/atom
E: -0.340 Ha/atom

An optimized crystal structure of Zr2NbAuN, computed with GGA-PBE.

Cell: 4.531 4.531 4.185 Å, 90.00 90.00 90.00°
Element x y z (fractional)
Zr 0.000 0.500 0.000
Zr 0.500 0.000 0.000
Nb 0.000 0.000 0.500
Au 0.500 0.500 0.500
N 0.000 0.000 0.000

Calculated values
raw formation energy: -0.83 eV/atom
E: -0.315 Ha/atom

An optimized crystal structure of ZrNb2AuN, computed with GGA-PBE.

Cell: 4.245 4.245 4.551 Å, 90.00 90.00 90.00°
Element x y z (fractional)
Zr 0.000 0.000 0.000
Nb 0.000 0.500 0.500
Nb 0.500 0.000 0.500
Au 0.500 0.500 0.000
N 0.000 0.000 0.500

Calculated values
raw formation energy: -0.69 eV/atom
E: -0.321 Ha/atom

Question: Which of these has the lowest E?
Answer: Nb2WAuN

Question: Number 3 is which compound?
Answer: NbAuNO2